Entry 1:
The following is a DFT calculation (PBE) of a relaxed structure of POs2Cl.

As for the uncorrected formation energy: 342.0 meV/atom. The energy above the lowest structure with this stoichiometry is 0.119 eV/atom.

It has space group R3m (No. 160, hexagonal axes), with a = 2.8794 Å, b = 2.8794 Å, c = 28.6961 Å, α = 90.00°, β = 90.00° and γ = 120.00°. Symmetry generates all atoms from P at (0.0000, 0.0000, 0.0000), Os at (0.0000, 0.0000, 0.2722), Os at (0.0000, 0.0000, 0.5307) and Cl at (0.0000, 0.0000, 0.7953).

=====

Entry 2:
The following is a DFT calculation (PBE) of a relaxed structure of Ba2SrP2.

The energy above the lowest structure with this stoichiometry is 0.479 eV/atom.

It has space group I4/mmm (No. 139), with a = 4.9420 Å, b = 4.9420 Å, c = 13.3425 Å, α = 90.00°, β = 90.00° and γ = 90.00°. Symmetry generates all atoms from Ba at (0.0000, 0.5000, 0.2500), Sr at (0.0000, 0.0000, 0.0000) and P at (0.0000, 0.0000, 0.4137).

=====

Entry 3:
The following is a DFT calculation (PBE) of a relaxed structure of CaReIr2.

The energy above the lowest structure with this stoichiometry is 0.516 eV/atom.

It has space group Pmmm (No. 47), with a = 3.2172 Å, b = 4.3902 Å, c = 4.6982 Å, α = 90.00°, β = 90.00° and γ = 90.00°. Symmetry generates all atoms from Ca at (0.0000, 0.0000, 0.0000), Re at (0.5000, 0.0000, 0.5000), Ir at (0.0000, 0.5000, 0.5000) and Ir at (0.5000, 0.5000, 0.0000).

=====

Entry 4:
The following is a DFT calculation (PBE) of a relaxed structure of Pm3HoIr.

The energy above the lowest structure with this stoichiometry is 0.000 eV/atom.

It has space group Ima2 (No. 46), with a = 8.8350 Å, b = 8.2491 Å, c = 8.6468 Å, α = 90.00°, β = 90.00° and γ = 90.00°. Symmetry generates all atoms from Pm at (0.0539, 0.2089, 0.0000), Pm at (0.2500, 0.5421, 0.8037), Ho at (0.2500, 0.5471, 0.2003) and Ir at (0.2500, 0.6387, 0.4995).

=====

Question: energy above the lowest structure with this stoichiometry of number 1 (POs2Cl)?
Answer: 0.119 eV/atom